1.
Here is LiZn2Ru2 after structural relaxation from Alexandria. Energies are from PBE.

Cell: 7.531 7.531 2.746 Å, 90.00 90.00 90.00°
Fractional coordinates of all 10 atoms:
Li (0.000, 0.000, 0.000)
Li (0.500, 0.500, 0.000)
Zn (0.179, 0.321, 0.000)
Zn (0.321, 0.821, 0.000)
Zn (0.679, 0.179, 0.000)
Zn (0.821, 0.679, 0.000)
Ru (0.116, 0.616, 0.500)
Ru (0.384, 0.116, 0.500)
Ru (0.616, 0.884, 0.500)
Ru (0.884, 0.384, 0.500)

Results
Excess energy over the best structure of this formula in the dataset   0 meV per atom
Calculated formation energy   145 meV per atom
M_tot   1.62 μB per formula unit
Energy   -4.458 eV per atom

2.
Here is Ba3Bi2O6 after structural relaxation from Alexandria. Energies are from PBE.

Cell: 10.856 10.856 10.856 Å, 155.41 155.41 35.05°
Fractional coordinates of all 11 atoms:
Ba (0.000, 0.000, 0.000)
Ba (0.181, 0.181, 0.000)
Ba (0.819, 0.819, 0.000)
Bi (0.406, 0.406, 0.000)
Bi (0.594, 0.594, 0.000)
O (0.092, 0.592, 0.500)
O (0.303, 0.303, 0.000)
O (0.408, 0.908, 0.500)
O (0.592, 0.092, 0.500)
O (0.697, 0.697, 0.000)
O (0.908, 0.408, 0.500)

Results
Uncorrected formation energy   -21.86 eV per formula unit
M_tot   0.00 μB per formula unit
Energy   -5.922 eV per atom

3.
Here is PuCr2H6 after structural relaxation from Alexandria. Energies are from PBE.

Cell: 4.283 4.283 4.507 Å, 90.00 90.00 120.00°
Fractional coordinates of all 9 atoms:
Pu (0.000, 0.000, 0.000)
Cr (0.333, 0.667, 0.500)
Cr (0.667, 0.333, 0.500)
H (0.000, 0.500, 0.231)
H (0.000, 0.500, 0.769)
H (0.500, 0.000, 0.231)
H (0.500, 0.000, 0.769)
H (0.500, 0.500, 0.231)
H (0.500, 0.500, 0.769)

Results
M_tot   6.27 μB per formula unit
Energy   -6.110 eV per atom